(1)
# La3Sm7Tm PBE optimized geometry
# * ΔE to the lowest computed polymorph: 0.00 eV per formula unit
# * M_tot: 0.0 μB/f.u.
# * energy of formation from the pure elements: 1.3 eV/f.u.
# * ρ: 7.1 g/cm³
data_La3Sm7Tm
_symmetry_space_group_name_H-M 'P -1'
_symmetry_Int_Tables_number 2
_cell_length_a 6.622
_cell_length_b 6.855
_cell_length_c 8.803
_cell_angle_alpha 100.33
_cell_angle_beta 98.46
_cell_angle_gamma 96.12
loop_
_symmetry_equiv_pos_as_xyz
'x,y,z'
'-x,-y,-z'
loop_
_atom_site_label
_atom_site_type_symbol
_atom_site_fract_x
_atom_site_fract_y
_atom_site_fract_z
La1 La 0.000 0.000 0.000
La2 La 0.183 0.561 0.172
Sm1 Sm 0.011 0.772 0.575
Sm2 Sm 0.294 0.271 0.791
Sm3 Sm 0.432 0.788 0.853
Sm4 Sm 0.500 0.500 0.500
Tm1 Tm 0.500 0.000 0.500


(2)
# AlPd8Pb2 PBE optimized geometry
# * M_tot: 0.0 μB/f.u.
# * energy of formation from the pure elements: -3.7 eV/f.u.
# * ρ: 11.3 g/cm³
data_AlPd8Pb2
_symmetry_space_group_name_H-M 'I m m m'
_symmetry_Int_Tables_number 71
_symmetry_space_group_name_Hall '-I 2 2'
_cell_length_a 4.604
_cell_length_b 5.993
_cell_length_c 13.769
_cell_angle_alpha 90.00
_cell_angle_beta 90.00
_cell_angle_gamma 90.00
loop_
_atom_site_label
_atom_site_type_symbol
_atom_site_fract_x
_atom_site_fract_y
_atom_site_fract_z
Al1 Al 0.000 0.000 0.000
Pd1 Pd 0.000 0.254 0.140
Pd2 Pd 0.000 0.258 0.500
Pd3 Pd 0.000 0.500 0.324
Pb1 Pb 0.000 0.000 0.322


(3)
# Dy5Y3Ho4 PBE optimized geometry
# * ΔE to the lowest computed polymorph: 2.76 eV per formula unit
# * M_tot: 0.5 μB/f.u.
# * energy of formation from the pure elements: 3.0 eV/f.u.
# * ρ: 7.4 g/cm³
data_Dy5Y3Ho4
_symmetry_space_group_name_H-M 'C 1 2/m 1'
_symmetry_Int_Tables_number 12
_cell_length_a 16.057
_cell_length_b 5.840
_cell_length_c 9.275
_cell_angle_alpha 90.00
_cell_angle_beta 116.84
_cell_angle_gamma 90.00
loop_
_symmetry_equiv_pos_as_xyz
'x,y,z'
'-x,-y,-z'
'-x,y,-z'
'x,-y,z'
'x+1/2,y+1/2,z'
'-x+1/2,-y+1/2,-z'
'-x+1/2,y+1/2,-z'
'x+1/2,-y+1/2,z'
loop_
_atom_site_label
_atom_site_type_symbol
_atom_site_fract_x
_atom_site_fract_y
_atom_site_fract_z
Dy1 Dy 0.000 0.000 0.000
Dy2 Dy 0.074 0.500 0.700
Dy3 Dy 0.173 0.500 0.387
Y1 Y 0.000 0.500 0.000
Y2 Y 0.209 0.000 0.231
Ho1 Ho 0.081 0.000 0.441
Ho2 Ho 0.214 0.000 0.878